# 1
Entry from Alexandria via LeMat-Bulk: a relaxed ZnNiBi crystal (PBE).

extended XYZ file:
```
6
Lattice="-0.619 -3.900 1.622 4.223 -0.544 0.305 -0.105 2.400 5.728" Properties=species:S:1:pos:R:3 pbc="T T T"
Zn 2.029 1.618 4.664
Zn -0.332 -1.440 2.028
Ni 0.000 0.000 0.000
Ni 1.802 -2.222 0.964
Bi 2.080 0.438 1.847
Bi -0.383 -0.260 4.845
```

Output
* total magnetic moment: 0.0 μB per formula unit
* VASP energy: -0.271 Ry per atom
* SG: P4/nmm
* DFT formation energy: -0.04 eV per atom
* DOS at the Fermi energy: 1.9 states/eV/f.u.

# 2
Entry from Alexandria via LeMat-Bulk: a relaxed ZrNiBi crystal (PBE).

extended XYZ file:
```
3
Lattice="-2.625 2.935 0.475 -3.170 -2.706 -0.794 1.357 0.569 3.980" Properties=species:S:1:pos:R:3 pbc="T T T"
Ni -2.479 -0.700 0.945
Bi -0.229 0.256 0.041
Zr -1.730 1.242 2.674
```

Output
* total magnetic moment: 0.0 μB per formula unit
* VASP energy: -0.462 Ry per atom
* SG: P3m1
* DFT formation energy: -0.21 eV per atom
* DOS at the Fermi energy: 2.2 states/eV/f.u.

# 3
Entry from Alexandria via LeMat-Bulk: a relaxed ZrNiBi2 crystal (PBE).

extended XYZ file:
```
4
Lattice="0.000 3.565 3.565 3.565 0.000 3.565 3.565 3.565 0.000" Properties=species:S:1:pos:R:3 pbc="T T T"
Ni 0.000 0.000 0.000
Bi 1.783 1.783 1.783
Bi 5.348 5.348 5.348
Zr 3.565 3.565 3.565
```

Output
* total magnetic moment: 0.0 μB per formula unit
* VASP energy: -0.392 Ry per atom
* SG: Fm-3m
* DFT formation energy: 0.18 eV per atom
* DOS at the Fermi energy: 2.1 states/eV/f.u.